(1)
Crystalline SrBrCl at its relaxed geometry. Source: Alexandria via LeMat-Bulk, functional PBE.

Cell: 4.8482 7.7168 10.1609 Å, 90.00 90.00 90.00°
Closest atoms and distances in Å follow each position.
Fractional positions:
Cl: 0.7500 0.0242 0.1362  3 Sr 2.91-2.96
Sr: 0.7500 0.7714 0.9234  3 Cl 2.91-2.96, 3 Br 3.14-3.26
Br: 0.7500 0.8669 0.6098  4 Sr 3.14-3.27
Sr: 0.2500 0.2286 0.0766  3 Cl 2.91-2.96, 3 Br 3.14-3.26
Sr: 0.7500 0.2714 0.5766  3 Cl 2.91-2.96, 3 Br 3.14-3.26
Sr: 0.2500 0.7286 0.4234  3 Cl 2.91-2.96, 3 Br 3.14-3.26
Br: 0.2500 0.1331 0.3902  4 Sr 3.14-3.27
Cl: 0.2500 0.4758 0.6362  3 Sr 2.91-2.96
Br: 0.7500 0.3669 0.8902  4 Sr 3.14-3.27
Br: 0.2500 0.6331 0.1098  4 Sr 3.14-3.27
Cl: 0.7500 0.5242 0.3638  3 Sr 2.91-2.96
Cl: 0.2500 0.9758 0.8638  3 Sr 2.91-2.96

Calculated values
total magnetic moment: 0.000 μB per cell
electronic total energy: -0.1472 hartree per atom
V: 380.1 Å³/cell

=====

(2)
Crystalline Ta5Te at its relaxed geometry. Source: Alexandria via LeMat-Bulk, functional PBE.

Cell: 5.4455 5.4455 4.9458 Å, 90.00 90.00 120.00°
Closest atoms and distances in Å follow each position.
Fractional positions:
Ta: 0.5000 0.5000 0.5000  8 Ta 2.72-2.93
Ta: 0.3333 0.6667 0.0000  9 Ta 2.93-3.14, 3 Te 3.14
Ta: 0.6667 0.3333 0.0000  9 Ta 2.93-3.14, 3 Te 3.14
Ta: 0.0000 0.5000 0.5000  8 Ta 2.72-2.93
Te: 0.0000 0.0000 0.0000  6 Ta 3.14
Ta: 0.5000 0.0000 0.5000  8 Ta 2.72-2.93

Calculated values
energy above the most stable polymorph in this dataset: 631 meV per atom
total magnetic moment: 0.000 μB per cell
electronic total energy: -0.3570 hartree per atom
V: 127.0 Å³/cell

=====

(3)
Crystalline CaLa4Nd15 at its relaxed geometry. Source: Alexandria via LeMat-Bulk, functional PBE.

Cell: 5.2473 5.2473 26.0955 Å, 90.00 90.00 90.00°
Closest atoms and distances in Å follow each position.
Fractional positions:
Nd: 0.0000 0.5000 0.1020  8 Nd 3.65-3.74, 2 La 3.66, 2 Ca 3.74
Nd: 0.0000 0.5000 0.6996  8 Nd 3.69-3.73, 4 La 3.69-3.71
Nd: 0.5000 0.0000 0.3004  8 Nd 3.69-3.73, 4 La 3.69-3.71
La: 0.0000 0.0000 0.6001  12 Nd 3.69-3.71
La: 0.0000 0.0000 0.8000  12 Nd 3.66-3.71
La: 0.0000 0.0000 0.3999  12 Nd 3.69-3.71
Nd: 0.5000 0.5000 0.6002  8 Nd 3.69-3.70, 4 La 3.71
La: 0.0000 0.0000 0.2000  12 Nd 3.66-3.71
Nd: 0.0000 0.5000 0.3004  8 Nd 3.69-3.73, 4 La 3.69-3.71
Nd: 0.5000 0.5000 0.1990  8 Nd 3.65-3.73, 4 La 3.71
Nd: 0.5000 0.0000 0.5000  4 La 3.70, 8 Nd 3.70-3.71
Nd: 0.5000 0.0000 0.8980  8 Nd 3.65-3.74, 2 La 3.66, 2 Ca 3.74
Nd: 0.5000 0.5000 0.8010  8 Nd 3.65-3.73, 4 La 3.71
Nd: 0.5000 0.5000 0.3998  8 Nd 3.69-3.70, 4 La 3.71
Nd: 0.0000 0.5000 0.8980  8 Nd 3.65-3.74, 2 La 3.66, 2 Ca 3.74
Nd: 0.5000 0.0000 0.6996  8 Nd 3.69-3.73, 4 La 3.69-3.71
Nd: 0.5000 0.0000 0.1020  8 Nd 3.65-3.74, 2 La 3.66, 2 Ca 3.74
Ca: 0.0000 0.0000 0.0000  12 Nd 3.71-3.74
Nd: 0.5000 0.5000 0.0000  4 Ca 3.71, 8 Nd 3.74
Nd: 0.0000 0.5000 0.5000  4 La 3.70, 8 Nd 3.70-3.71

Calculated values
total magnetic moment: 0.000 μB per cell
ΔH_f (0 K): 0.025 eV per atom
electronic total energy: -0.1704 hartree per atom
V: 718.5 Å³/cell

=====

(4)
Crystalline Ag2Pt2Au3 at its relaxed geometry. Source: Alexandria via LeMat-Bulk, functional PBE.

Cell: 4.1391 6.4303 5.0153 Å, 97.58 114.37 90.00°
Closest atoms and distances in Å follow each position.
Fractional positions:
Pt: 0.8577 0.5715 0.7155  4 Au 2.84-2.87, 5 Ag 2.87-2.91, 3 Pt 2.88-2.91
Ag: 0.5733 0.7098 0.1465  1 Ag 2.83, 5 Pt 2.87-2.91, 6 Au 2.89-2.93
Au: 0.0000 0.0000 0.0000  2 Pt 2.87, 6 Au 2.91-2.92, 4 Ag 2.93
Pt: 0.1423 0.4285 0.2845  4 Au 2.84-2.87, 5 Ag 2.87-2.91, 3 Pt 2.88-2.91
Ag: 0.4267 0.2902 0.8535  1 Ag 2.83, 5 Pt 2.87-2.91, 6 Au 2.89-2.93
Au: 0.2864 0.8499 0.5728  3 Pt 2.84-2.87, 4 Ag 2.89-2.93, 5 Au 2.91-2.97
Au: 0.7136 0.1501 0.4272  3 Pt 2.84-2.87, 4 Ag 2.89-2.93, 5 Au 2.91-2.97

Calculated values
energy above the most stable polymorph in this dataset: 32 meV per atom
total magnetic moment: 0.000 μB per cell
ΔH_f (0 K): 0.016 eV per atom
electronic total energy: -0.1444 hartree per atom
V: 120.3 Å³/cell

=====

(5)
Crystalline La2SiBC at its relaxed geometry. Source: Alexandria via LeMat-Bulk, functional PBE.

Cell: 5.2322 3.6629 5.2322 Å, 90.00 90.00 90.00°
Closest atoms and distances in Å follow each position.
Fractional positions:
C: 0.0000 0.0000 0.0000  2 Si 1.83
B: 0.5000 0.5000 0.5000  8 La 3.19
Si: 0.0000 0.5000 0.0000  2 C 1.83
La: 0.0000 0.0000 0.5000  2 C 2.62
La: 0.5000 0.0000 0.0000  2 C 2.62

Calculated values
energy above the most stable polymorph in this dataset: 681 meV per atom
total magnetic moment: 0.000 μB per cell
electronic total energy: -0.2213 hartree per atom
V: 100.3 Å³/cell

=====

(6)
Crystalline BaIn2Br at its relaxed geometry. Source: Alexandria via LeMat-Bulk, functional PBE.

Cell: 4.5362 4.5362 14.6142 Å, 81.07 81.07 90.00°
Closest atoms and distances in Å follow each position.
Fractional positions:
Br: 0.2500 0.7500 0.5000  4 Ba 3.21
Ba: 0.7500 0.2500 0.5000  4 Br 3.21
Ba: 0.0000 0.0000 0.0000  4 Br 3.21
In: 0.6300 0.1250 0.2500  4 In 3.18-3.24
In: 0.1200 0.6250 0.2500  4 In 3.18-3.24
Br: 0.5000 0.5000 0.0000  4 Ba 3.21
In: 0.3750 0.3700 0.7500  4 In 3.18-3.24
In: 0.8750 0.8800 0.7500  4 In 3.18-3.24

Calculated values
energy above the most stable polymorph in this dataset: 43 meV per atom
total magnetic moment: 0.000 μB per cell
electronic total energy: -0.1087 hartree per atom
V: 293.4 Å³/cell

=====

(7)
Crystalline Co4NiIr at its relaxed geometry. Source: Alexandria via LeMat-Bulk, functional PBE.

Cell: 4.2882 4.2882 4.7951 Å, 90.01 89.99 69.07°
Closest atoms and distances in Å follow each position.
Fractional positions:
Ir: 0.5024 0.4990 0.0019  8 Co 2.48
Co: 0.5028 0.9988 0.7421  4 Co 2.30-2.49, 2 Ni 2.43, 2 Ir 2.48
Co: 0.5028 0.9988 0.2615  4 Co 2.30-2.49, 2 Ni 2.43, 2 Ir 2.48
Co: 0.0026 0.4986 0.7422  4 Co 2.30-2.49, 2 Ni 2.43, 2 Ir 2.48
Co: 0.0026 0.4986 0.2616  4 Co 2.30-2.49, 2 Ni 2.43, 2 Ir 2.48
Ni: 0.0030 0.9984 0.5019  8 Co 2.43

Calculated values
energy above the most stable polymorph in this dataset: 436 meV per atom
total magnetic moment: 7.920 μB per cell
ΔH_f (0 K): 0.574 eV per atom
electronic total energy: -0.2427 hartree per atom
V: 82.4 Å³/cell

=====

(8)
Crystalline La2Sm7Y at its relaxed geometry. Source: Alexandria via LeMat-Bulk, functional PBE.

Cell: 3.5143 15.0897 15.0897 Å, 154.23 90.00 90.00°
Closest atoms and distances in Å follow each position.
Fractional positions:
Sm: 0.5000 0.3419 0.1466  7 Sm 3.29-3.55, 1 La 3.58
Y: 0.0000 0.0000 0.0000  2 Y 3.51, 12 Sm 3.75-3.80
Sm: 0.5000 0.8534 0.6581  7 Sm 3.29-3.55, 1 La 3.58
Sm: 0.0000 0.8135 0.1865  6 Sm 3.51-3.55, 6 La 3.66-3.83
La: 0.5000 0.7045 0.2955  2 La 3.51, 8 Sm 3.58-3.83
La: 0.5000 0.2955 0.7045  2 La 3.51, 8 Sm 3.58-3.83
Sm: 0.5000 0.5000 0.5000  6 Sm 3.35-3.51
Sm: 0.5000 0.6581 0.8534  7 Sm 3.29-3.55, 1 La 3.58
Sm: 0.0000 0.1865 0.8135  6 Sm 3.51-3.55, 6 La 3.66-3.83
Sm: 0.5000 0.1466 0.3419  7 Sm 3.29-3.55, 1 La 3.58

Calculated values
energy above the most stable polymorph in this dataset: 127 meV per atom
total magnetic moment: 0.000 μB per cell
ΔH_f (0 K): 0.145 eV per atom
electronic total energy: -0.1760 hartree per atom
V: 347.9 Å³/cell

=====

(9)
Crystalline OsPtPb2 at its relaxed geometry. Source: Alexandria via LeMat-Bulk, functional PBE.

Cell: 6.2108 6.2108 7.5466 Å, 65.70 65.70 90.00°
Closest atoms and distances in Å follow each position.
Fractional positions:
Pb: 0.6153 0.1250 0.2500  2 Os 2.64, 2 Pt 2.71
Pb: 0.8750 0.8653 0.7500  2 Os 2.64, 2 Pt 2.71
Pt: 0.0000 0.0000 0.0000  4 Pb 2.71
Pt: 0.7500 0.2500 0.5000  4 Pb 2.71
Pb: 0.3750 0.3847 0.7500  2 Os 2.64, 2 Pt 2.71
Pb: 0.1347 0.6250 0.2500  2 Os 2.64, 2 Pt 2.71
Os: 0.2500 0.7500 0.5000  4 Pb 2.64
Os: 0.5000 0.5000 0.0000  4 Pb 2.64

Calculated values
energy above the most stable polymorph in this dataset: 610 meV per atom
total magnetic moment: 0.000 μB per cell
ΔH_f (0 K): 1.002 eV per atom
electronic total energy: -0.1900 hartree per atom
V: 236.7 Å³/cell

=====

(10)
Crystalline AcMgAl2Ga2 at its relaxed geometry. Source: Alexandria via LeMat-Bulk, functional PBE.

Cell: 4.5816 4.5816 7.2825 Å, 90.00 90.00 120.00°
Closest atoms and distances in Å follow each position.
Fractional positions:
Mg: 0.0000 0.0000 0.5000  6 Al 2.97, 6 Ga 3.06
Ga: 0.3333 0.6667 0.2897  4 Al 2.65-2.89
Ac: 0.0000 0.0000 0.0000  6 Ga 3.38, 6 Al 3.50, 2 Mg 3.64
Al: 0.3333 0.6667 0.6861  4 Ga 2.65-2.89
Ga: 0.6667 0.3333 0.7103  4 Al 2.65-2.89
Al: 0.6667 0.3333 0.3139  4 Ga 2.65-2.89

Calculated values
total magnetic moment: 0.000 μB per cell
ΔH_f (0 K): -0.349 eV per atom
electronic total energy: -0.1307 hartree per atom
V: 132.4 Å³/cell

=====

(11)
Crystalline SrBi3N at its relaxed geometry. Source: Alexandria via LeMat-Bulk, functional PBE.

Cell: 6.1138 6.1138 6.1138 Å, 90.00 90.00 90.00°
Closest atoms and distances in Å follow each position.
Fractional positions:
Sr: 0.0000 0.0000 0.0000  6 Bi 3.06
Bi: 0.0000 0.0000 0.5000  2 Sr 3.06
Bi: 0.0000 0.5000 0.0000  2 Sr 3.06
N: 0.5000 0.5000 0.5000  12 Bi 4.32
Bi: 0.5000 0.0000 0.0000  2 Sr 3.06

Calculated values
energy above the most stable polymorph in this dataset: 1860 meV per atom
total magnetic moment: 0.000 μB per cell
electronic total energy: -0.0854 hartree per atom
V: 228.5 Å³/cell

=====

(12)
Crystalline LiCePmPt at its relaxed geometry. Source: Alexandria via LeMat-Bulk, functional PBE.

Cell: 5.1025 5.1025 5.1025 Å, 60.00 60.00 60.00°
Closest atoms and distances in Å follow each position.
Fractional positions:
Pt: 0.5000 0.5000 0.5000  4 Pm 3.12, 4 Ce 3.12
Pm: 0.7500 0.7500 0.7500  4 Pt 3.12, 4 Li 3.12
Ce: 0.2500 0.2500 0.2500  4 Li 3.12, 4 Pt 3.12
Li: 0.0000 0.0000 0.0000  4 Ce 3.12, 4 Pm 3.12

Calculated values
total magnetic moment: 1.073 μB per cell
ΔH_f (0 K): -0.457 eV per atom
electronic total energy: -0.1880 hartree per atom
V: 93.9 Å³/cell